(1)
# GGA-PBE BTeHRhAu, optimized geometry
# VASP energy in eV per atom: -4.65
data_BTeHRhAu
_cell_length_a 4.882
_cell_length_b 2.967
_cell_length_c 5.556
_cell_angle_alpha 90.00
_cell_angle_beta 93.18
_cell_angle_gamma 90.00
_space_group_name_H-M_alt 'P 1'
_space_group_IT_number 1
loop_
_space_group_symop_operation_xyz
'x,y,z'
loop_
_atom_site_label
_atom_site_fract_x
_atom_site_fract_y
_atom_site_fract_z
Au1 0.308 0.500 0.805
H1 0.858 0.000 0.978
B1 0.094 0.000 0.058
Te1 0.770 0.500 0.473
Rh1 0.254 0.500 0.296

(2)
# GGA-PBE MgIn2Ga, optimized geometry
# Formation enthalpy at 0 K in eV/atom: 0.009
# VASP energy in eV per atom: -2.52
data_MgIn2Ga
_cell_length_a 5.126
_cell_length_b 5.126
_cell_length_c 5.126
_cell_angle_alpha 60.00
_cell_angle_beta 60.00
_cell_angle_gamma 60.00
_space_group_name_H-M_alt 'P 1'
_space_group_IT_number 1
loop_
_space_group_symop_operation_xyz
'x,y,z'
loop_
_atom_site_label
_atom_site_fract_x
_atom_site_fract_y
_atom_site_fract_z
In1 0.750 0.750 0.750
In2 0.250 0.250 0.250
Ga1 0.500 0.500 0.500
Mg1 0.000 0.000 0.000

(3)
# GGA-PBE SrZr2Se, optimized geometry
# Formation energy from raw total energies in meV per atom: -256
# VASP energy in eV per atom: -5.82
data_SrZr2Se
_cell_length_a 9.461
_cell_length_b 9.461
_cell_length_c 9.461
_cell_angle_alpha 22.90
_cell_angle_beta 22.90
_cell_angle_gamma 22.90
_space_group_name_H-M_alt 'P 1'
_space_group_IT_number 1
loop_
_space_group_symop_operation_xyz
'x,y,z'
loop_
_atom_site_label
_atom_site_fract_x
_atom_site_fract_y
_atom_site_fract_z
Zr1 0.528 0.528 0.528
Zr2 0.972 0.972 0.972
Se1 0.250 0.250 0.250
Sr1 0.750 0.750 0.750